Compound: RbMnPO2
Source: Alexandria via LeMat-Bulk
Functional: GGA-PBEsol
Structure: relaxed

abc: 3.978 3.978 4.427
angles: 90.00 90.00 90.00
Fractional positions:
Rb1 0.000 0.000 0.000
Mn1 0.500 0.500 0.500
P1 0.500 0.500 0.000
O1 0.000 0.500 0.500
O2 0.500 0.000 0.500

Output
**Symmetry**: P4/mmm
**Offset from the most stable computed form**: 0 kJ/mol of formula units
**Formation energy from raw total energies**: -0.409 eV/atom


Compound: RbMnPO2
Source: Alexandria via LeMat-Bulk
Functional: GGA-PBEsol
Structure: relaxed

abc: 4.075 4.075 6.179
angles: 90.00 90.00 90.00
Fractional positions:
Rb1 0.000 0.000 0.000
Mn1 0.500 0.500 0.500
P1 0.000 0.000 0.500
O1 0.000 0.500 0.000
O2 0.500 0.000 0.000

Output
**Symmetry**: P4/mmm
**Offset from the most stable computed form**: 839 kJ/mol of formula units
**Formation energy from raw total energies**: 1.330 eV/atom